PBE-GGA KYSb, optimized geometry; SG = F-43m, No. 216; Fermi-level density of states = 0.537 states/eV per atom; total magnetization = 0.000 μB per formula unit; energy relative to the elements, uncorrected = -1.0 eV/f.u.
1.0
0.000 3.775 3.775
3.775 0.000 3.775
3.775 3.775 0.000
K Y Sb
1 1 1
direct
0.000 0.000 0.000
0.500 0.500 0.500
0.250 0.250 0.250